DFT (GGA+U) results for crystalline NiIO2 at its relaxed geometry.

Summary:
Its energy above the most stable polymorph in this dataset is 1428 meV per atom. As for the total energy: -2.576 eV per atom. The value obtained for the volume is 11.8 Å³/atom.

Unit cell a=4.0516 b=4.0516 c=4.0516 alpha=60.00 beta=60.00 gamma=60.00
Positions (direct):
I  0.5000  0.5000  0.5000
Ni  0.0000  0.0000  0.0000
O  0.2500  0.2500  0.2500
O  0.7500  0.7500  0.7500